Ti2NbRu | PBE | optimized geometry

Summary:
N(E_F): 4.42 states/eV/f.u.
Calculated volume: 64 Å³/f.u.
ΔE_f: -0.366 eV per atom
SG: P4/mmm
Calculated density: 7.47 g cm⁻³

Cell lengths 3.0825, 3.0825, 6.7749 Å; angles 90.00, 90.00, 90.00 degrees
Closest atoms and distances in Å follow each position.
Atoms (fractional coordinates):
Ti: 0.0000 0.0000 0.2258  4 Ru 2.66, 4 Nb 2.86
Ti: 0.0000 0.0000 0.7742  4 Ru 2.66, 4 Nb 2.86
Nb: 0.5000 0.5000 0.5000  8 Ti 2.86, 4 Nb 3.08
Ru: 0.5000 0.5000 0.0000  8 Ti 2.66


Ti2NbRu2 | PBE | optimized geometry

Summary:
N(E_F): 6.14 states/eV/f.u.
Calculated volume: 80 Å³/f.u.
ΔE_f: -0.235 eV per atom
SG: P4/mbm
Calculated density: 8.07 g cm⁻³

Cell lengths 7.2693, 7.2693, 3.0418 Å; angles 90.00, 90.00, 90.00 degrees
Closest atoms and distances in Å follow each position.
Atoms (fractional coordinates):
Ti: 0.1562 0.3438 0.0000  6 Ru 2.56-2.66
Ti: 0.3438 0.8438 0.0000  6 Ru 2.56-2.66
Ti: 0.6562 0.1562 0.0000  6 Ru 2.56-2.66
Ti: 0.8438 0.6562 0.0000  6 Ru 2.56-2.66
Nb: 0.0000 0.0000 0.5000  4 Ru 2.80, 2 Nb 3.04
Nb: 0.5000 0.5000 0.5000  4 Ru 2.80, 2 Nb 3.04
Ru: 0.1431 0.6431 0.5000  6 Ti 2.56-2.66, 2 Nb 2.80
Ru: 0.3569 0.1431 0.5000  6 Ti 2.56-2.66, 2 Nb 2.80
Ru: 0.6431 0.8569 0.5000  6 Ti 2.56-2.66, 2 Nb 2.80
Ru: 0.8569 0.3569 0.5000  6 Ti 2.56-2.66, 2 Nb 2.80


Ti2Nb6Ru | PBE | optimized geometry

Summary:
N(E_F): 11.19 states/eV/f.u.
Calculated volume: 156 Å³/f.u.
ΔE_f: -0.126 eV per atom
SG: P-1
Calculated density: 8.02 g cm⁻³

Cell lengths 4.6956, 5.3278, 7.1744 Å; angles 111.64, 109.05, 90.16 degrees
Closest atoms and distances in Å follow each position.
Atoms (fractional coordinates):
Ti: 0.1060 0.1850 0.2124  1 Ru 2.60, 1 Ti 2.78, 4 Nb 2.81-2.89
Ti: 0.8940 0.8150 0.7876  1 Ru 2.60, 1 Ti 2.78, 4 Nb 2.81-2.89
Nb: 0.2218 0.8286 0.4430  6 Nb 2.73-2.89, 1 Ru 2.82, 1 Ti 2.89
Nb: 0.3328 0.5006 0.6666  5 Nb 2.73-2.85, 3 Ti 2.81-2.87
Nb: 0.4479 0.1693 0.8942  4 Nb 2.71-2.88, 2 Ru 2.85-2.86, 2 Ti 2.92
Nb: 0.5521 0.8307 0.1058  4 Nb 2.71-2.88, 2 Ru 2.85-2.86, 2 Ti 2.92
Nb: 0.6672 0.4994 0.3334  5 Nb 2.73-2.85, 3 Ti 2.81-2.87
Nb: 0.7782 0.1714 0.5570  6 Nb 2.73-2.89, 1 Ru 2.82, 1 Ti 2.89
Ru: 0.0000 0.5000 0.0000  2 Ti 2.60, 6 Nb 2.82-2.86


| no. | total magnetic moment (μB/cell) |
| --- | --- |
| 1 | 0.0 |
| 2 | 0.0 |
| 3 | 0.0 |